HfZr3Al (PBE, optimized geometry); energy of formation = 1.09 eV per atom
1.0
-1.2297 3.9858 2.9749
-4.9211 -1.4191 -0.1329
0.7206 -2.8894 4.1691
Al Hf Zr
1 1 3
direct
0.5000 0.5000 0.5000
0.0000 0.0000 0.0000
0.5000 0.0000 0.0000
0.0000 0.0000 0.5000
0.0000 0.5000 0.0000

Ti3Al5Se12 (PBE, optimized geometry); formation energy from raw total energies = -0.756 eV per atom
1.0
-1.2014 9.7911 -8.8111
-11.5830 -1.8873 6.1005
9.2144 3.2104 8.9294
Se Al Ti
48 20 12
direct
0.7827 0.4576 0.3704
0.5872 0.9576 0.6749
0.1749 0.0877 0.7173
0.3704 0.9576 0.7827
0.1296 0.7173 0.5424
0.9576 0.5872 0.1749
0.5424 0.2173 0.1296
0.4576 0.7827 0.8704
0.6749 0.2173 0.5877
0.9123 0.8251 0.7827
0.4128 0.3704 0.5877
0.4128 0.0424 0.3251
0.5877 0.7173 0.6749
0.2827 0.4123 0.8251
0.2827 0.8704 0.9576
0.5872 0.6296 0.4123
0.5424 0.3251 0.9128
0.2173 0.6749 0.0877
0.1749 0.0872 0.9576
0.9123 0.0872 0.6296
0.8251 0.9123 0.2827
0.9128 0.0877 0.8704
0.8251 0.9128 0.0424
0.9128 0.8251 0.5424
0.0877 0.1749 0.2173
0.3251 0.5424 0.4128
0.5877 0.8704 0.4128
0.7173 0.5877 0.1749
0.0872 0.1749 0.4576
0.7827 0.3251 0.9123
0.6296 0.5872 0.9123
0.3704 0.4128 0.0877
0.4123 0.1296 0.5872
0.8704 0.5877 0.9128
0.8704 0.2827 0.4576
0.1296 0.4123 0.0872
0.0424 0.6296 0.7173
0.0424 0.4128 0.8251
0.7173 0.1296 0.0424
0.6296 0.0424 0.2173
0.2173 0.5424 0.6296
0.0877 0.9128 0.3704
0.0872 0.9123 0.1296
0.3251 0.7827 0.4123
0.9576 0.3704 0.2827
0.4576 0.6749 0.0872
0.6749 0.4576 0.5872
0.4123 0.2827 0.3251
0.1250 0.7500 0.3750
0.2500 0.3750 0.6250
0.0000 0.5000 0.0000
0.7500 0.6250 0.3750
0.0000 0.0000 0.5000
0.6250 0.8750 0.2500
0.5000 0.0000 0.0000
0.5000 0.5000 0.0000
0.7500 0.1250 0.8750
0.2500 0.8750 0.1250
0.0000 0.0000 0.0000
0.5000 0.5000 0.5000
0.1250 0.3750 0.2500
0.8750 0.2500 0.6250
0.3750 0.1250 0.7500
0.8750 0.6250 0.7500
0.3750 0.2500 0.1250
0.0000 0.5000 0.5000
0.5000 0.0000 0.5000
0.6250 0.7500 0.8750
0.6250 0.3750 0.7500
0.3750 0.7500 0.6250
0.8750 0.1250 0.2500
0.7500 0.3750 0.1250
0.1250 0.2500 0.8750
0.6250 0.2500 0.3750
0.8750 0.7500 0.1250
0.2500 0.1250 0.3750
0.1250 0.8750 0.7500
0.2500 0.6250 0.8750
0.3750 0.6250 0.2500
0.7500 0.8750 0.6250

Cs2GaWBr6 (PBE, optimized geometry); formation energy from raw total energies = -0.954 eV per atom
1.0
7.9849 0.0000 0.0000
0.0000 7.9849 0.0000
3.9925 3.9925 5.6442
Br Cs W Ga
6 2 1 1
direct
0.2317 0.2317 0.0000
0.7683 0.2317 0.0000
0.2318 0.2318 0.5365
0.7682 0.7682 0.4635
0.7683 0.7683 0.0000
0.2317 0.7683 0.0000
0.2500 0.7500 0.5000
0.7500 0.2500 0.5000
0.0000 0.0000 0.0000
0.5000 0.5000 0.0000

UBP (PBE, optimized geometry); energy of formation = -0.36 eV per atom; energy relative to the lowest polymorph listed for this composition = 141 meV per atom
1.0
-2.3259 4.6201 1.3910
-3.3879 2.2781 3.4675
9.1150 -4.8455 -0.8046
U B P
2 2 2
direct
0.1997 0.8354 0.0337
0.9121 0.5479 0.4960
0.6790 0.3147 0.5569
0.7834 0.4192 0.8028
0.4422 0.0781 0.9970
0.1214 0.7572 0.4134

AgPd14Au (PBE, optimized geometry); energy of formation = 0.01 eV per atom
1.0
5.5930 -0.3492 0.0000
-2.5133 5.0087 0.0000
0.0000 0.0000 9.2715
Pd Ag Au
14 1 1
direct
0.8745 0.1255 0.7519
0.3745 0.6255 0.7513
0.3758 0.1241 0.7530
0.7098 0.7904 0.0000
0.8759 0.6242 0.2470
0.8759 0.6242 0.7530
0.2098 0.7902 0.0000
0.8745 0.1255 0.2481
0.3758 0.1241 0.2470
0.3745 0.6255 0.2487
0.7098 0.2902 0.0000
0.5400 0.9604 0.5000
0.2096 0.2902 0.0000
0.0396 0.4600 0.5000
0.0400 0.9600 0.5000
0.5401 0.4599 0.5000

Tl2PRh (PBE, optimized geometry); energy of formation = -0.07 eV per atom; energy relative to the lowest polymorph listed for this composition = 88 meV per atom
1.0
-2.0270 2.2102 1.8622
-1.3880 -3.9491 3.1762
3.2456 -0.8628 4.5570
P Tl Rh
1 2 1
direct
0.0000 0.4401 0.1343
0.0000 0.0565 0.8894
0.5000 0.7122 0.5697
0.5000 0.2913 0.4066

Hf3Nb4As4 (PBE, optimized geometry); energy of formation = -0.65 eV per atom
1.0
-2.3724 -1.4301 -2.2413
3.6914 -7.0399 0.5847
-4.8279 2.5073 6.3429
Nb As Hf
4 4 3
direct
0.3282 0.5217 0.6565
0.6718 0.8652 0.3435
0.3282 0.1348 0.6565
0.6718 0.4783 0.3435
0.2463 0.7463 0.4926
0.7537 0.2537 0.5074
0.5000 0.8001 0.0000
0.5000 0.1999 0.0000
0.8910 0.8910 0.7820
0.0000 0.5000 0.0000
0.1090 0.1090 0.2180

TbDyTe6 (PBE, optimized geometry); formation energy from raw total energies = -0.921 eV per atom
1.0
-3.5097 0.8626 -2.4061
-1.0008 -4.2269 -0.0557
-5.4874 1.1369 12.3292
Te Dy Tb
6 1 1
direct
0.5787 0.5000 0.1574
0.0788 0.0000 0.1576
0.7073 0.0000 0.4147
0.9214 0.5000 0.8429
0.4215 0.0000 0.8431
0.2922 0.5000 0.5844
0.1725 0.5000 0.3450
0.8274 0.0000 0.6549